# 1
VASP calculation (PBE-GGA) on crystalline In3Co at its relaxed geometry.

Cell lengths 7.302, 8.156, 5.416 Å; angles 90.00, 90.00, 90.00 degrees
Fractional positions:
In (0.019, 0.250, 0.102)
In (0.171, 0.056, 0.636)
In (0.171, 0.444, 0.636)
In (0.329, 0.556, 0.136)
In (0.329, 0.944, 0.136)
In (0.481, 0.750, 0.602)
In (0.519, 0.250, 0.398)
In (0.671, 0.056, 0.864)
In (0.671, 0.444, 0.864)
In (0.829, 0.556, 0.364)
In (0.829, 0.944, 0.364)
In (0.981, 0.750, 0.898)
Co (0.133, 0.750, 0.439)
Co (0.367, 0.250, 0.939)
Co (0.633, 0.750, 0.061)
Co (0.867, 0.250, 0.561)

Output
**Energy relative to the elements**: 0.038 eV/atom
**DFT total energy**: -60.67 eV for the cell shown

---

# 2
VASP calculation (PBE-GGA) on crystalline In3Co at its relaxed geometry.

Cell lengths 3.318, 3.318, 26.871 Å; angles 90.00, 90.00, 120.00 degrees
Fractional positions:
In (0.000, 0.000, 0.000)
In (0.000, 0.000, 0.235)
In (0.000, 0.000, 0.765)
In (0.333, 0.667, 0.432)
In (0.333, 0.667, 0.667)
In (0.333, 0.667, 0.902)
In (0.667, 0.333, 0.098)
In (0.667, 0.333, 0.333)
In (0.667, 0.333, 0.568)
Co (0.000, 0.000, 0.500)
Co (0.333, 0.667, 0.167)
Co (0.667, 0.333, 0.833)

Output
**Energy relative to the elements**: 0.199 eV/atom
**DFT total energy**: -43.57 eV for the cell shown

---

# 3
VASP calculation (PBE-GGA) on crystalline InCo2 at its relaxed geometry.

Cell lengths 3.669, 3.669, 13.816 Å; angles 90.00, 90.00, 90.00 degrees
Fractional positions:
In (0.000, 0.250, 0.375)
In (0.000, 0.750, 0.625)
In (0.500, 0.250, 0.125)
In (0.500, 0.750, 0.875)
Co (0.000, 0.250, 0.794)
Co (0.000, 0.250, 0.956)
Co (0.000, 0.750, 0.044)
Co (0.000, 0.750, 0.206)
Co (0.500, 0.250, 0.544)
Co (0.500, 0.250, 0.706)
Co (0.500, 0.750, 0.294)
Co (0.500, 0.750, 0.456)

Output
**Energy relative to the elements**: 0.363 eV/atom
**DFT total energy**: -63.44 eV for the cell shown

---

# 4
VASP calculation (PBE-GGA) on crystalline InCo at its relaxed geometry.

Cell lengths 10.655, 2.949, 6.584 Å; angles 90.00, 90.13, 90.00 degrees
Fractional positions:
In (0.000, 0.000, 0.000)
In (0.045, 0.000, 0.492)
In (0.282, 0.500, 0.635)
In (0.500, 0.500, 0.000)
In (0.545, 0.500, 0.492)
In (0.782, 0.000, 0.635)
Co (0.182, 0.500, 0.226)
Co (0.269, 0.000, 0.974)
Co (0.363, 0.000, 0.301)
Co (0.682, 0.000, 0.226)
Co (0.769, 0.500, 0.974)
Co (0.863, 0.500, 0.301)

Output
**Energy relative to the elements**: 0.240 eV/atom
**DFT total energy**: -56.19 eV for the cell shown